# 1
KSn3Br7: optimized geometry, PBE.

* uncorrected formation energy: -906 meV per atom

a = 7.364 Å, b = 7.462 Å, c = 7.364 Å
α = 102.71°, β = 97.10°, γ = 102.71°
Positions (direct):
Br (0.962, 0.727, 0.379)
Br (0.155, 0.218, 0.155)
Br (0.379, 0.727, 0.962)
Br (0.845, 0.782, 0.845)
Br (0.621, 0.273, 0.038)
Br (0.500, 0.000, 0.500)
Br (0.038, 0.273, 0.621)
Sn (0.228, 0.000, 0.772)
Sn (0.000, 0.500, 0.000)
Sn (0.772, 0.000, 0.228)
K (0.500, 0.500, 0.500)

# 2
B: optimized geometry, PBE.

* excess energy over the best structure of this formula in the dataset: 0.4724 eV/atom
* ΔH_f (0 K): 46 kJ/mol of formula units

a = 5.623 Å, b = 5.623 Å, c = 4.574 Å
α = 71.80°, β = 71.80°, γ = 88.94°
Positions (direct):
B (0.982, 0.239, 0.483)
B (0.188, 0.188, 0.780)
B (0.095, 0.460, 0.603)
B (0.916, 0.916, 0.806)
B (0.540, 0.905, 0.397)
B (0.812, 0.812, 0.220)
B (0.905, 0.540, 0.397)
B (0.761, 0.018, 0.517)
B (0.018, 0.761, 0.517)
B (0.239, 0.982, 0.483)
B (0.460, 0.095, 0.603)
B (0.084, 0.084, 0.194)

# 3
LiO2F2: optimized geometry, PBE.

* excess energy over the best structure of this formula in the dataset: 0.0000 eV/atom
* uncorrected formation energy: -1159 meV per atom

a = 3.205 Å, b = 3.205 Å, c = 8.115 Å
α = 59.76°, β = 59.73°, γ = 57.94°
Each line ends with the local moment (μB).
Positions (direct):
O (0.875, 0.875, 0.572)  0.43
O (0.125, 0.125, 0.428)  0.43
Li (0.000, 0.000, 0.000)  0.00
F (0.795, 0.794, 0.848)  -0.03
F (0.205, 0.206, 0.152)  -0.03

# 4
LiZrGaI: optimized geometry, PBE.

* excess energy over the best structure of this formula in the dataset: 0.0000 eV/atom
* uncorrected formation energy: -354 meV per atom

a = 3.640 Å, b = 4.007 Å, c = 6.937 Å
α = 90.00°, β = 90.00°, γ = 90.00°
Positions (direct):
Zr (0.500, 0.000, 0.309)
I (0.500, 0.000, 0.733)
Li (0.000, 0.500, 0.616)
Ga (0.000, 0.500, 0.218)

M_tot? In order: 0.00, 0.00, 1.00, 0.00 μB/f.u..
DFT total energy? In order: -3.162, -6.205, -4.274, -4.114 eV per atom.